Here is TiTl2Se after structural relaxation from Alexandria via LeMat-Bulk. Energies are from GGA-PBE.

The structure in POSCAR format:
```
TiTl2Se
1.0
0.0000 3.6942 3.6942
3.6942 0.0000 3.6942
3.6942 3.6942 0.0000
Ti Tl Se
1 2 1
Direct
0.0000 0.0000 0.0000 Ti
0.2500 0.2500 0.2500 Tl
0.7500 0.7500 0.7500 Tl
0.5000 0.5000 0.5000 Se
```

Properties
The volume comes out at 100.83 Å³ per cell. The calculation puts the energy above the most stable polymorph in this dataset at 0.186 eV/atom. The formation energy from raw total energies comes out at 0.396 eV per atom.


Here is TiTlSe after structural relaxation from Alexandria via LeMat-Bulk. Energies are from GGA-PBE.

The structure in POSCAR format:
```
TiTlSe
1.0
4.1044 0.0000 0.0000
0.0000 4.1044 0.0000
0.0000 0.0000 8.8676
Ti Tl Se
2 2 2
Direct
0.2500 0.7500 0.0000 Ti
0.7500 0.2500 0.0000 Ti
0.2500 0.2500 0.3420 Tl
0.7500 0.7500 0.6580 Tl
0.2500 0.2500 0.8183 Se
0.7500 0.7500 0.1817 Se
```

Properties
The volume comes out at 149.39 Å³ per cell. The formation energy from raw total energies comes out at -0.544 eV per atom.


Here is Ti5Tl3Se12 after structural relaxation from Alexandria via LeMat-Bulk. Energies are from GGA-PBE.

The structure in POSCAR format:
```
Ti5Tl3Se12
1.0
-8.1915 8.1915 8.1915
8.1915 -8.1915 8.1915
8.1915 8.1915 -8.1915
Ti Tl Se
20 12 48
Direct
0.0000 0.0000 0.0000 Ti
0.0000 0.0000 0.5000 Ti
0.0000 0.5000 0.0000 Ti
0.0000 0.5000 0.5000 Ti
0.1250 0.7500 0.8750 Ti
0.1250 0.8750 0.2500 Ti
0.2500 0.1250 0.8750 Ti
0.2500 0.6250 0.3750 Ti
0.3750 0.2500 0.6250 Ti
0.3750 0.6250 0.7500 Ti
0.5000 0.0000 0.0000 Ti
0.5000 0.0000 0.5000 Ti
0.5000 0.5000 0.0000 Ti
0.5000 0.5000 0.5000 Ti
0.6250 0.3750 0.2500 Ti
0.6250 0.7500 0.3750 Ti
0.7500 0.3750 0.6250 Ti
0.7500 0.8750 0.1250 Ti
0.8750 0.1250 0.7500 Ti
0.8750 0.2500 0.1250 Ti
0.1250 0.2500 0.3750 Tl
0.1250 0.3750 0.7500 Tl
0.2500 0.3750 0.1250 Tl
0.2500 0.8750 0.6250 Tl
0.3750 0.1250 0.2500 Tl
0.3750 0.7500 0.1250 Tl
0.6250 0.2500 0.8750 Tl
0.6250 0.8750 0.7500 Tl
0.7500 0.1250 0.3750 Tl
0.7500 0.6250 0.8750 Tl
0.8750 0.6250 0.2500 Tl
0.8750 0.7500 0.6250 Tl
0.0139 0.1948 0.1074 Se
0.0139 0.3191 0.9066 Se
0.0875 0.6948 0.6809 Se
0.0875 0.8926 0.4066 Se
0.0934 0.6074 0.4125 Se
0.0934 0.9861 0.6809 Se
0.1074 0.0139 0.1948 Se
0.1074 0.5934 0.9125 Se
0.1809 0.1948 0.5875 Se
0.1809 0.4861 0.5934 Se
0.1948 0.1074 0.0139 Se
0.1948 0.5875 0.1809 Se
0.3052 0.3191 0.9125 Se
0.3052 0.4861 0.3926 Se
0.3191 0.9066 0.0139 Se
0.3191 0.9125 0.3052 Se
0.3926 0.3052 0.4861 Se
0.3926 0.5875 0.9066 Se
0.4066 0.0875 0.8926 Se
0.4066 0.8191 0.5139 Se
0.4125 0.0934 0.6074 Se
0.4125 0.8191 0.8052 Se
0.4861 0.3926 0.3052 Se
0.4861 0.5934 0.1809 Se
0.5139 0.4066 0.8191 Se
0.5139 0.6074 0.6948 Se
0.5875 0.1809 0.1948 Se
0.5875 0.9066 0.3926 Se
0.5934 0.1809 0.4861 Se
0.5934 0.9125 0.1074 Se
0.6074 0.4125 0.0934 Se
0.6074 0.6948 0.5139 Se
0.6809 0.0875 0.6948 Se
0.6809 0.0934 0.9861 Se
0.6948 0.5139 0.6074 Se
0.6948 0.6809 0.0875 Se
0.8052 0.4125 0.8191 Se
0.8052 0.8926 0.9861 Se
0.8191 0.5139 0.4066 Se
0.8191 0.8052 0.4125 Se
0.8926 0.4066 0.0875 Se
0.8926 0.9861 0.8052 Se
0.9066 0.0139 0.3191 Se
0.9066 0.3926 0.5875 Se
0.9125 0.1074 0.5934 Se
0.9125 0.3052 0.3191 Se
0.9861 0.6809 0.0934 Se
0.9861 0.8052 0.8926 Se
```

Properties
The volume comes out at 2198.66 Å³ per cell. The formation energy from raw total energies comes out at -0.753 eV per atom.


Here is TiTl3Se3 after structural relaxation from Alexandria via LeMat-Bulk. Energies are from GGA-PBE.

The structure in POSCAR format:
```
TiTl3Se3
1.0
7.8072 0.0000 0.0000
0.0000 13.4140 0.0000
-7.3397 0.0000 8.5282
Ti Tl Se
4 12 12
Direct
0.0684 0.0376 0.1456 Ti
0.0684 0.4624 0.6456 Ti
0.9316 0.5376 0.3544 Ti
0.9316 0.9624 0.8544 Ti
0.0763 0.7070 0.8483 Tl
0.0763 0.7930 0.3483 Tl
0.3280 0.0800 0.5780 Tl
0.3280 0.4200 0.0780 Tl
0.4310 0.1498 0.0612 Tl
0.4310 0.3502 0.5612 Tl
0.5690 0.6498 0.4388 Tl
0.5690 0.8502 0.9388 Tl
0.6720 0.5800 0.9220 Tl
0.6720 0.9200 0.4220 Tl
0.9237 0.2070 0.6517 Tl
0.9237 0.2930 0.1517 Tl
0.1476 0.5152 0.2698 Se
0.1476 0.9848 0.7698 Se
0.1493 0.6316 0.6062 Se
0.1493 0.8684 0.1062 Se
0.4265 0.1239 0.3421 Se
0.4265 0.3761 0.8421 Se
0.5735 0.6239 0.1579 Se
0.5735 0.8761 0.6579 Se
0.8507 0.1316 0.8938 Se
0.8507 0.3684 0.3938 Se
0.8524 0.0152 0.2302 Se
0.8524 0.4848 0.7302 Se
```

Properties
The volume comes out at 893.12 Å³ per cell. The formation energy from raw total energies comes out at -0.626 eV per atom.


Here is Ti2TlSe after structural relaxation from Alexandria via LeMat-Bulk. Energies are from GGA-PBE.

The structure in POSCAR format:
```
Ti2TlSe
1.0
0.0000 3.3462 3.3462
3.3462 0.0000 3.3462
3.3462 3.3462 0.0000
Ti Tl Se
2 1 1
Direct
0.2500 0.2500 0.2500 Ti
0.7500 0.7500 0.7500 Ti
0.0000 0.0000 0.0000 Tl
0.5000 0.5000 0.5000 Se
```

Properties
The volume comes out at 74.94 Å³ per cell. The calculation puts the energy above the most stable polymorph in this dataset at 0.348 eV/atom. The formation energy from raw total energies comes out at -0.040 eV per atom.


Here is TiTl4Se5 after structural relaxation from Alexandria via LeMat-Bulk. Energies are from GGA-PBE.

The structure in POSCAR format:
```
TiTl4Se5
1.0
-4.7646 4.7646 3.1823
4.7646 -4.7646 3.1823
4.7646 4.7646 -3.1823
Ti Tl Se
1 4 5
Direct
0.0000 0.0000 0.0000 Ti
0.1158 0.5191 0.7926 Tl
0.3232 0.1158 0.5967 Tl
0.5191 0.7265 0.4033 Tl
0.7265 0.3232 0.2074 Tl
0.0149 0.1714 0.3366 Se
0.1714 0.8348 0.1565 Se
0.3815 0.3815 0.0000 Se
0.6783 0.0149 0.8435 Se
0.8348 0.6783 0.6634 Se
```

Properties
The volume comes out at 288.98 Å³ per cell. The formation energy from raw total energies comes out at -0.521 eV per atom.